# Tl6Au7

An optimized crystal structure of Tl6Au7 (GGA-PBEsol, Alexandria).

Lattice parameters (Å, degrees): 10.966 10.966 10.966 29.38 29.38 29.38
Sites, in units of the cell vectors:
Tl 0.049 0.049 0.049
Tl 0.154 0.154 0.154
Tl 0.331 0.331 0.331
Tl 0.669 0.669 0.669
Tl 0.846 0.846 0.846
Tl 0.951 0.951 0.951
Au 0.091 0.591 0.591
Au 0.409 0.409 0.909
Au 0.409 0.909 0.409
Au 0.500 0.500 0.500
Au 0.591 0.091 0.591
Au 0.591 0.591 0.091
Au 0.909 0.409 0.409

## Properties
- DFT total energy (eV per atom) = -3.318



# Tl3Au

An optimized crystal structure of Tl3Au (GGA-PBEsol, Alexandria).

Lattice parameters (Å, degrees): 4.632 4.632 4.632 90.00 90.00 90.00
Sites, in units of the cell vectors:
Tl 0.000 0.000 0.500
Tl 0.000 0.500 0.000
Tl 0.500 0.000 0.000
Au 0.500 0.500 0.500

## Properties
- DFT total energy (eV per atom) = -2.871



# TlAu4

An optimized crystal structure of TlAu4 (GGA-PBEsol, Alexandria).

Lattice parameters (Å, degrees): 3.875 3.875 13.543 90.00 90.00 90.00
Sites, in units of the cell vectors:
Tl 0.000 0.000 0.000
Tl 0.500 0.500 0.500
Au 0.000 0.000 0.401
Au 0.000 0.000 0.599
Au 0.000 0.500 0.250
Au 0.000 0.500 0.750
Au 0.500 0.000 0.250
Au 0.500 0.000 0.750
Au 0.500 0.500 0.099
Au 0.500 0.500 0.901

## Properties
- DFT total energy (eV per atom) = -3.595



# Tl4Au

An optimized crystal structure of Tl4Au (GGA-PBEsol, Alexandria).

Lattice parameters (Å, degrees): 8.598 8.598 3.517 90.00 90.00 90.00
Sites, in units of the cell vectors:
Tl 0.077 0.274 0.000
Tl 0.226 0.577 0.500
Tl 0.274 0.923 0.000
Tl 0.423 0.226 0.500
Tl 0.577 0.774 0.500
Tl 0.726 0.077 0.000
Tl 0.774 0.423 0.500
Tl 0.923 0.726 0.000
Au 0.000 0.000 0.500
Au 0.500 0.500 0.000

## Properties
- DFT total energy (eV per atom) = -2.878



# TlWAu2

An optimized crystal structure of TlWAu2 (GGA-PBEsol, Alexandria).

Lattice parameters (Å, degrees): 2.886 2.886 8.633 90.00 90.00 90.00
Sites, in units of the cell vectors:
Tl 0.000 0.000 0.000
W 0.500 0.500 0.264
Au 0.000 0.000 0.482
Au 0.500 0.500 0.724

## Properties
- DFT total energy (eV per atom) = -5.595



# Y2TlAu

An optimized crystal structure of Y2TlAu (GGA-PBEsol, Alexandria).

Lattice parameters (Å, degrees): 5.138 5.138 3.659 90.00 90.00 90.00
Sites, in units of the cell vectors:
Y 0.000 0.500 0.000
Y 0.500 0.000 0.000
Tl 0.000 0.000 0.500
Au 0.500 0.500 0.500

## Properties
- DFT total energy (eV per atom) = -5.671



# Y2TlAu

An optimized crystal structure of Y2TlAu (GGA-PBEsol, Alexandria).

Lattice parameters (Å, degrees): 4.323 4.323 10.216 90.00 90.00 90.00
Sites, in units of the cell vectors:
Y 0.000 0.000 0.000
Y 0.000 0.500 0.250
Y 0.500 0.000 0.750
Y 0.500 0.500 0.500
Tl 0.000 0.500 0.750
Tl 0.500 0.000 0.250
Au 0.000 0.000 0.500
Au 0.500 0.500 0.000

## Properties
- DFT total energy (eV per atom) = -5.531



# YTl2Au2

An optimized crystal structure of YTl2Au2 (GGA-PBEsol, Alexandria).

Lattice parameters (Å, degrees): 4.206 4.206 13.230 90.00 90.00 90.00
Sites, in units of the cell vectors:
Y 0.000 0.000 0.000
Y 0.500 0.500 0.500
Tl 0.000 0.500 0.250
Tl 0.000 0.500 0.750
Tl 0.500 0.000 0.250
Tl 0.500 0.000 0.750
Au 0.000 0.000 0.402
Au 0.000 0.000 0.598
Au 0.500 0.500 0.098
Au 0.500 0.500 0.902

## Properties
- DFT total energy (eV per atom) = -4.262



# TlZn4Au

An optimized crystal structure of TlZn4Au (GGA-PBEsol, Alexandria).

Lattice parameters (Å, degrees): 5.194 5.194 5.194 60.00 60.00 60.00
Sites, in units of the cell vectors:
Tl 0.000 0.000 0.000
Zn 0.376 0.376 0.376
Zn 0.376 0.376 0.872
Zn 0.376 0.872 0.376
Zn 0.872 0.376 0.376
Au 0.750 0.750 0.750

## Properties
- DFT total energy (eV per atom) = -2.075



# TlZnAu4

An optimized crystal structure of TlZnAu4 (GGA-PBEsol, Alexandria).

Lattice parameters (Å, degrees): 5.476 5.476 5.476 60.00 60.00 60.00
Sites, in units of the cell vectors:
Tl 0.000 0.000 0.000
Zn 0.250 0.250 0.250
Au 0.126 0.625 0.625
Au 0.625 0.126 0.625
Au 0.625 0.625 0.126
Au 0.625 0.625 0.625

## Properties
- DFT total energy (eV per atom) = -3.227



# TlZnAu2

An optimized crystal structure of TlZnAu2 (GGA-PBEsol, Alexandria).

Lattice parameters (Å, degrees): 6.639 6.639 6.639 90.00 90.00 90.00
Sites, in units of the cell vectors:
Tl 0.000 0.000 0.000
Tl 0.000 0.500 0.500
Tl 0.500 0.000 0.500
Tl 0.500 0.500 0.000
Zn 0.000 0.000 0.500
Zn 0.000 0.500 0.000
Zn 0.500 0.000 0.000
Zn 0.500 0.500 0.500
Au 0.250 0.250 0.250
Au 0.250 0.250 0.750
Au 0.250 0.750 0.250
Au 0.250 0.750 0.750
Au 0.750 0.250 0.250
Au 0.750 0.250 0.750
Au 0.750 0.750 0.250
Au 0.750 0.750 0.750

## Properties
- DFT total energy (eV per atom) = -2.935



# TlZn2Au

An optimized crystal structure of TlZn2Au (GGA-PBEsol, Alexandria).

Lattice parameters (Å, degrees): 8.329 3.664 5.251 90.00 104.93 90.00
Sites, in units of the cell vectors:
Tl 0.000 0.000 0.000
Tl 0.500 0.500 0.000
Zn 0.230 0.000 0.676
Zn 0.270 0.500 0.324
Zn 0.730 0.500 0.676
Zn 0.770 0.000 0.324
Au 0.000 0.500 0.500
Au 0.500 0.000 0.500

## Properties
- DFT total energy (eV per atom) = -2.404



| no. | energy of formation from the pure elements (meV per atom) |
| --- | --- |
| 1 | 9 |
| 2 | 83 |
| 3 | 70 |
| 4 | 11 |
| 5 | 476 |
| 6 | -621 |
| 7 | -482 |
| 8 | -276 |
| 9 | 72 |
| 10 | 91 |
| 11 | 80 |
| 12 | 26 |